{"formula": "MgInMo3", "functional": "PBE-GGA", "state": "optimized geometry", "e_form_ev_per_fu": 9.40, "relative_energy_ev_per_fu": 0.00, "lattice": [[4.632, 0.000, 0.000], [0.000, 4.632, 0.000], [0.000, 0.000, 4.632]], "species": ["Mo", "Mo", "Mo", "Mg", "In"], "frac_coords": [[0.000, 0.000, 0.500], [0.000, 0.500, 0.000], [0.500, 0.000, 0.000], [0.000, 0.000, 0.000], [0.500, 0.500, 0.500]]}



{"formula": "MgMnSb3", "functional": "PBE-GGA", "state": "optimized geometry", "formation_energy_uncorrected_mev_per_atom": 359, "relative_energy_ev_per_fu": 0.00, "lattice": [[-1.553, 1.398, -4.560], [-1.547, -4.684, -0.909], [-4.512, 1.125, 1.881]], "species": ["Sb", "Sb", "Sb", "Mn", "Mg"], "frac_coords": [[0.000, 0.500, 0.000], [0.500, 0.000, 0.000], [0.000, 0.000, 0.500], [0.000, 0.000, 0.000], [0.500, 0.500, 0.500]]}



{"formula": "ScTe4P", "functional": "PBE-GGA", "state": "optimized geometry", "formation_energy_uncorrected_mev_per_atom": 540, "lattice": [[0.945, 1.880, 5.811], [-4.364, 3.231, 2.951], [-3.158, -2.591, 4.638]], "species": ["Sc", "Te", "Te", "Te", "Te", "P"], "frac_coords": [[0.000, 0.000, 0.000], [0.875, 0.375, 0.375], [0.375, 0.375, 0.875], [0.375, 0.875, 0.375], [0.375, 0.375, 0.375], [0.750, 0.750, 0.750]]}



{"formula": "Ti2HgSb", "functional": "PBE-GGA", "state": "optimized geometry", "formation_energy_uncorrected_mev_per_atom": 49, "relative_energy_ev_per_fu": 0.76, "lattice": [[-4.061, -6.212, -1.143], [1.161, -2.070, 7.124], [-3.910, -2.684, 3.815]], "species": ["Sb", "Sb", "Ti", "Ti", "Ti", "Ti", "Hg", "Hg"], "frac_coords": [[0.500, 0.500, 0.000], [0.250, 0.750, 0.500], [0.622, 0.125, 0.250], [0.875, 0.872, 0.750], [0.128, 0.625, 0.250], [0.375, 0.378, 0.750], [0.000, 0.000, 0.000], [0.750, 0.250, 0.500]]}



{"formula": "LaAlO3", "functional": "PBE-GGA", "state": "optimized geometry", "formation_energy_uncorrected_mev_per_atom": -1135, "lattice": [[4.431, 0.000, 0.000], [0.000, 4.431, 0.000], [0.000, 0.000, 4.431]], "species": ["La", "O", "O", "O", "Al"], "frac_coords": [[0.000, 0.000, 0.000], [0.000, 0.000, 0.500], [0.500, 0.000, 0.000], [0.000, 0.500, 0.000], [0.500, 0.500, 0.500]]}



{"formula": "BaCa2InF", "functional": "PBE-GGA", "state": "optimized geometry", "formation_energy_uncorrected_mev_per_atom": -1214, "lattice": [[5.189, 0.000, 0.000], [0.000, 5.189, 0.000], [0.000, 0.000, 5.444]], "species": ["Ca", "Ca", "Ba", "In", "F"], "frac_coords": [[0.500, 0.000, 0.000], [0.000, 0.500, 0.000], [0.000, 0.000, 0.500], [0.500, 0.500, 0.500], [0.000, 0.000, 0.000]]}



{"formula": "AgPdS2N", "functional": "PBE-GGA", "state": "optimized geometry", "formation_energy_uncorrected_mev_per_atom": 1454, "relative_energy_ev_per_fu": 2.66, "lattice": [[-3.667, -2.062, 2.536], [-0.767, -3.162, -3.680], [2.542, -2.515, 1.631]], "species": ["S", "S", "N", "Ag", "Pd"], "frac_coords": [[0.500, 0.000, 0.000], [0.000, 0.500, 0.000], [0.000, 0.000, 0.500], [0.000, 0.000, 0.000], [0.500, 0.500, 0.500]]}



{"formula": "YCrTeIr2", "functional": "PBE-GGA", "state": "optimized geometry", "formation_energy_uncorrected_mev_per_atom": 1962, "lattice": [[5.021, 0.000, 0.000], [0.000, 4.661, 0.000], [0.000, 0.000, 5.021]], "species": ["Ir", "Ir", "Cr", "Te", "Y"], "frac_coords": [[0.000, 0.000, 0.500], [0.500, 0.000, 0.000], [0.000, 0.500, 0.000], [0.500, 0.500, 0.500], [0.000, 0.000, 0.000]]}



{"formula": "FeTc3Ge", "functional": "PBE-GGA", "state": "optimized geometry", "e_form_ev_per_fu": 6.20, "relative_energy_ev_per_fu": 0.00, "lattice": [[-3.514, 1.887, -1.940], [0.367, -2.818, -3.406], [-2.682, -2.859, 2.076]], "species": ["Ge", "Tc", "Tc", "Tc", "Fe"], "frac_coords": [[0.500, 0.500, 0.500], [0.000, 0.500, 0.000], [0.000, 0.000, 0.500], [0.500, 0.000, 0.000], [0.000, 0.000, 0.000]]}



{"formula": "NaFeH3", "functional": "PBE-GGA", "state": "optimized geometry", "energy_ry_per_atom": -0.296, "lattice": [[4.452, 0.366, -0.238], [-0.500, 4.268, -2.473], [0.246, 0.017, 4.952]], "species": ["Na", "Na", "Fe", "Fe", "H", "H", "H", "H", "H", "H"], "frac_coords": [[0.750, 0.833, 0.167], [0.250, 0.167, 0.833], [0.000, 0.500, 0.500], [0.500, 0.500, 0.500], [0.752, 0.792, 0.646], [0.750, 0.354, 0.646], [0.748, 0.354, 0.208], [0.250, 0.646, 0.354], [0.252, 0.646, 0.792], [0.248, 0.208, 0.354]]}



{"formula": "PbAuSe", "functional": "PBE-GGA", "state": "optimized geometry", "formation_energy_uncorrected_mev_per_atom": 29, "lattice": [[6.215, -0.011, 0.010], [4.682, 3.515, 0.002], [1.532, -0.558, 3.482]], "species": ["Pb", "Se", "Au"], "frac_coords": [[0.344, 0.344, 0.656], [0.639, 0.639, 0.361], [0.017, 0.017, 0.983]]}



{"formula": "La2InHg4", "functional": "PBE-GGA", "state": "optimized geometry", "e_form_ev_per_fu": -2.71, "lattice": [[-1.280, 4.535, 2.339], [-3.932, 0.140, 3.493], [3.800, -0.128, 8.245]], "species": ["In", "La", "La", "Hg", "Hg", "Hg", "Hg"], "frac_coords": [[0.000, 0.000, 0.000], [0.745, 0.745, 0.764], [0.255, 0.255, 0.236], [0.130, 0.130, 0.610], [0.383, 0.383, 0.851], [0.617, 0.617, 0.149], [0.870, 0.870, 0.390]]}